# ZrAu4 (PBE, optimized geometry)
# - formation energy (eV per atom) = 0.864
# - DOS at the Fermi energy (states/eV per cell) = 4.2
# - crystal system = cubic
data_ZrAu4
_chemical_formula_sum 'Zr1 Au4'
_cell_length_a 5.229
_cell_length_b 5.229
_cell_length_c 5.229
_cell_angle_alpha 90.00
_cell_angle_beta 90.00
_cell_angle_gamma 90.00
_symmetry_space_group_name_H-M 'P m -3 m'
_symmetry_Int_Tables_number 221
_symmetry_space_group_name_Hall '-P 4 2 3'
loop_
_atom_site_label
_atom_site_type_symbol
_atom_site_fract_x
_atom_site_fract_y
_atom_site_fract_z
Zr1 Zr 0.000 0.000 0.000
Au1 Au 0.000 0.000 0.500
Au2 Au 0.500 0.500 0.500